# 1
This record from the Alexandria database describes a relaxed structure of DyPuTeAs. The functional is GGA-PBE.

As for the density of states at the Fermi level: 11.1 states/eV/f.u. Its uncorrected energy is -7.9782 eV/atom. The calculation puts the total magnetic moment at 16.94 μB/cell.

It has space group R3m (No. 160, hexagonal axes), with a = 4.2429 Å, b = 4.2429 Å, c = 21.2060 Å, α = 90.00°, β = 90.00° and γ = 120.00°. Symmetry generates all atoms from Dy at (0.0000, 0.0000, 0.0000), Pu at (0.0000, 0.0000, 0.5173), Te at (0.0000, 0.0000, 0.7578) and As at (0.0000, 0.0000, 0.2602).

# 2
This record from the Alexandria database describes a relaxed structure of Ce3SbAs. The functional is GGA-PBE.

As for the density of states at the Fermi level: 13.6 states/eV/f.u. Its uncorrected energy is -6.1024 eV/atom. The calculation puts the total magnetic moment at 4.65 μB/cell.

It has space group P-1 (No. 2), with a = 4.050 Å, b = 8.309 Å, c = 10.026 Å, α = 108.30°, β = 101.60° and γ = 97.48°. Symmetry generates all atoms from Ce at (0.042, 0.394, 0.128), Ce at (0.225, 0.321, 0.529), Ce at (0.318, 0.989, 0.369), Sb at (0.367, 0.280, 0.848) and As at (0.391, 0.700, 0.697).

# 3
This record from the Alexandria database describes a relaxed structure of CaSb2IN. The functional is GGA-PBE.

As for the density of states at the Fermi level: 13.5 states/eV/f.u. Its uncorrected energy is -2.4143 eV/atom. The calculation puts the total magnetic moment at 0.00 μB/cell.

It has space group P4/mmm (No. 123), with a = 5.918 Å, b = 5.918 Å, c = 5.701 Å, α = 90.00°, β = 90.00° and γ = 90.00°. Symmetry generates all atoms from Ca at (0.000, 0.000, 0.000), Sb at (0.000, 0.500, 0.000), I at (0.000, 0.000, 0.500) and N at (0.500, 0.500, 0.500).

# 4
This record from the Alexandria database describes a relaxed structure of SmMgHg2. The functional is GGA-PBE.

Its formation energy is -467 meV per atom. As for the density of states at the Fermi level: 2.0 states/eV/f.u. The calculation puts the total magnetic moment at 0.00 μB/cell.

It has space group Fm-3m (No. 225), with a = 7.265 Å, b = 7.265 Å, c = 7.265 Å, α = 90.00°, β = 90.00° and γ = 90.00°. Symmetry generates all atoms from Sm at (0.000, 0.000, 0.000), Mg at (0.000, 0.000, 0.500) and Hg at (0.250, 0.250, 0.250).

# 5
This record from the Alexandria database describes a relaxed structure of Cr2NiPb. The functional is GGA-PBE.

Its formation energy is 503 meV per atom. As for the density of states at the Fermi level: 2.9 states/eV/f.u. The calculation puts the total magnetic moment at 0.00 μB/cell.

It has space group C2/m (No. 12), with a = 8.808 Å, b = 3.029 Å, c = 4.740 Å, α = 90.00°, β = 102.93° and γ = 90.00°. Symmetry generates all atoms from Cr at (0.238, 0.000, 0.162), Ni at (0.000, 0.500, 0.000) and Pb at (0.000, 0.000, 0.500).

# 6
This record from the Alexandria database describes a relaxed structure of Ac3Sm12Dy. The functional is GGA-PBE.

Its formation energy is 33 meV per atom. As for the density of states at the Fermi level: 25.8 states/eV/f.u. The calculation puts the total magnetic moment at 0.00 μB/cell.

It has space group P4/mmm (No. 123), with a = 5.216 Å, b = 5.216 Å, c = 20.857 Å, α = 90.00°, β = 90.00° and γ = 90.00°. Symmetry generates all atoms from Ac at (0.000, 0.000, 0.000), Ac at (0.000, 0.000, 0.253), Sm at (0.000, 0.500, 0.126), Sm at (0.000, 0.500, 0.380), Sm at (0.500, 0.500, 0.000), Sm at (0.500, 0.500, 0.254), Sm at (0.500, 0.500, 0.500) and Dy at (0.000, 0.000, 0.500).